1.
Density functional theory data (PBE) for an optimized crystal structure of LiNiBiPd.

abc: 4.5302 4.5302 4.5302
angles: 60.00 60.00 60.00
With the nearest neighbours (Å) after each atom.
Fractional positions:
Ni1 0.0000 0.0000 0.0000  4 Bi 2.77, 4 Li 2.77
Bi1 0.7500 0.7500 0.7500  4 Ni 2.77, 4 Pd 2.77
Pd1 0.5000 0.5000 0.5000  4 Li 2.77, 4 Bi 2.77
Li1 0.2500 0.2500 0.2500  4 Ni 2.77, 4 Pd 2.77

Calculated values
Its electronic total energy is -4.40 eV/atom. The calculation puts the volume at 16.4 A^3/atom. The value obtained for the energy of formation is -0.205 eV/atom.



2.
Density functional theory data (PBE) for an optimized crystal structure of LiPmNiBi.

abc: 4.8265 4.8265 4.8265
angles: 60.00 60.00 60.00
With the nearest neighbours (Å) after each atom.
Fractional positions:
Ni1 0.2500 0.2500 0.2500  4 Bi 2.96, 4 Pm 2.96
Li1 0.7500 0.7500 0.7500  4 Bi 2.96, 4 Pm 2.96
Bi1 0.0000 0.0000 0.0000  4 Li 2.96, 4 Ni 2.96
Pm1 0.5000 0.5000 0.5000  4 Li 2.96, 4 Ni 2.96

Calculated values
Its electronic total energy is -4.45 eV/atom. The calculation puts the volume at 19.9 A^3/atom. The value obtained for the energy of formation is -0.366 eV/atom.



3.
Density functional theory data (PBE) for an optimized crystal structure of LiNiBiPt.

abc: 4.4875 4.4875 4.4875
angles: 60.00 60.00 60.00
With the nearest neighbours (Å) after each atom.
Fractional positions:
Ni1 0.5000 0.5000 0.5000  4 Bi 2.75, 4 Pt 2.75
Bi1 0.2500 0.2500 0.2500  4 Ni 2.75, 4 Li 2.75
Pt1 0.7500 0.7500 0.7500  4 Ni 2.75, 4 Li 2.75
Li1 0.0000 0.0000 0.0000  4 Bi 2.75, 4 Pt 2.75

Calculated values
Its electronic total energy is -4.61 eV/atom. The calculation puts the volume at 16.0 A^3/atom. The value obtained for the energy of formation is -0.202 eV/atom.



4.
Density functional theory data (PBE) for an optimized crystal structure of LiPuNiBi.

abc: 4.7868 4.7868 4.7868
angles: 60.00 60.00 60.00
With the nearest neighbours (Å) after each atom.
Fractional positions:
Ni1 0.5000 0.5000 0.5000  4 Pu 2.93, 4 Bi 2.93
Li1 0.0000 0.0000 0.0000  4 Bi 2.93, 4 Pu 2.93
Bi1 0.2500 0.2500 0.2500  4 Li 2.93, 4 Ni 2.93
Pu1 0.7500 0.7500 0.7500  4 Ni 2.93, 4 Li 2.93

Calculated values
Its electronic total energy is -6.65 eV/atom. The calculation puts the volume at 19.4 A^3/atom. The value obtained for the energy of formation is -0.173 eV/atom.